First-principles (PBE) data for LiBiO2 after structural relaxation, as listed in Alexandria via LeMat-Bulk.

The structure in POSCAR format:
```
LiBiO2
1.0
9.574 -2.644 0.000
9.574 2.644 0.000
-1.251 0.000 4.786
Li Bi O
4 4 8
direct
0.249 0.250 0.500 Li
0.250 0.249 0.000 Li
0.750 0.751 0.000 Li
0.751 0.750 0.500 Li
0.149 0.669 0.902 Bi
0.331 0.851 0.598 Bi
0.669 0.149 0.402 Bi
0.851 0.331 0.098 Bi
0.048 0.546 0.797 O
0.081 0.756 0.473 O
0.244 0.919 0.027 O
0.454 0.952 0.703 O
0.546 0.048 0.297 O
0.756 0.081 0.973 O
0.919 0.244 0.527 O
0.952 0.454 0.203 O
```

## Properties
- D(E_F): 0.0 states/eV/cell
- Energy relative to the elements, uncorrected: -1.493 eV per atom
- Calculated density: 6797 kg/m3
- VASP energy: -5.421 eV/atom
- V: 15.1 Å³ per atom
- Symmetry: C2/c